# 1
{
  "formula": "PrTm2Ge2Pt7",
  "functional": "PBE",
  "state": "optimized geometry",
  "final_energy_ev_per_atom": -6.331,
  "sg": "C2/m, No. 12",
  "lattice_angstrom": [[4.085, 0.028, -0.043], [0.033, 4.085, -0.043], [1.889, 1.886, 13.873]],
  "species": ["Pr", "Tm", "Tm", "Ge", "Ge", "Pt", "Pt", "Pt", "Pt", "Pt", "Pt", "Pt"],
  "fractional_positions": [[0.000, 0.000, 0.000], [0.866, 0.866, 0.361], [0.134, 0.134, 0.639], [0.614, 0.614, 0.736], [0.386, 0.386, 0.264], [0.500, 0.500, 0.000], [0.355, 0.355, 0.436], [0.645, 0.645, 0.564], [0.929, 0.429, 0.164], [0.429, 0.929, 0.164], [0.571, 0.071, 0.836], [0.071, 0.571, 0.836]]
}

***

# 2
{
  "formula": "Pr2TmGe3Pt4",
  "functional": "PBE",
  "state": "optimized geometry",
  "final_energy_ev_per_atom": -6.186,
  "sg": "P-4m2, No. 115",
  "lattice_angstrom": [[4.347, 0.000, 0.000], [0.000, 4.347, 0.000], [0.000, 0.000, 11.021]],
  "species": ["Pr", "Pr", "Tm", "Ge", "Ge", "Ge", "Pt", "Pt", "Pt", "Pt"],
  "fractional_positions": [[0.500, 0.000, 0.225], [0.000, 0.500, 0.775], [0.500, 0.500, 0.500], [0.000, 0.000, 0.500], [0.500, 0.000, 0.877], [0.000, 0.500, 0.123], [0.500, 0.500, 0.000], [0.000, 0.000, 0.000], [0.500, 0.000, 0.653], [0.000, 0.500, 0.347]]
}

***

# 3
{
  "formula": "PrTmGe2Pt5",
  "functional": "PBE",
  "state": "optimized geometry",
  "final_energy_ev_per_atom": -6.258,
  "sg": "P4/mmm, No. 123",
  "lattice_angstrom": [[4.333, 0.000, 0.000], [0.000, 4.333, 0.000], [0.000, 0.000, 8.992]],
  "species": ["Pr", "Tm", "Ge", "Ge", "Pt", "Pt", "Pt", "Pt", "Pt"],
  "fractional_positions": [[0.000, 0.000, 0.500], [0.000, 0.000, 0.000], [0.500, 0.500, 0.134], [0.500, 0.500, 0.866], [0.000, 0.500, 0.265], [0.500, 0.000, 0.265], [0.000, 0.500, 0.735], [0.500, 0.000, 0.735], [0.500, 0.500, 0.500]]
}

***

# 4
{
  "formula": "Pr2UGe4Pt3",
  "functional": "PBE",
  "state": "optimized geometry",
  "final_energy_ev_per_atom": -6.462,
  "sg": "P-4m2, No. 115",
  "lattice_angstrom": [[4.330, 0.000, 0.000], [0.000, 4.330, 0.000], [0.000, 0.000, 11.421]],
  "species": ["Pr", "Pr", "U", "Ge", "Ge", "Ge", "Ge", "Pt", "Pt", "Pt"],
  "fractional_positions": [[0.500, 0.000, 0.228], [0.000, 0.500, 0.772], [0.500, 0.500, 0.500], [0.500, 0.500, 0.000], [0.000, 0.000, 0.000], [0.500, 0.000, 0.667], [0.000, 0.500, 0.333], [0.000, 0.000, 0.500], [0.500, 0.000, 0.885], [0.000, 0.500, 0.115]]
}

***

# 5
{
  "formula": "PrYGe2Pt5",
  "functional": "PBE",
  "state": "optimized geometry",
  "final_energy_ev_per_atom": -6.500,
  "sg": "P4/mmm, No. 123",
  "lattice_angstrom": [[4.331, 0.000, 0.000], [0.000, 4.331, 0.000], [0.000, 0.000, 9.054]],
  "species": ["Pr", "Y", "Ge", "Ge", "Pt", "Pt", "Pt", "Pt", "Pt"],
  "fractional_positions": [[0.000, 0.000, 0.500], [0.000, 0.000, 0.000], [0.500, 0.500, 0.135], [0.500, 0.500, 0.865], [0.000, 0.500, 0.267], [0.500, 0.000, 0.267], [0.000, 0.500, 0.733], [0.500, 0.000, 0.733], [0.500, 0.500, 0.500]]
}

***

# 6
{
  "formula": "PrYGePt",
  "functional": "PBE",
  "state": "optimized geometry",
  "relative_energy_ev_per_atom": 0.152,
  "sg": "F-43m, No. 216",
  "lattice_angstrom": [[5.121, 0.000, 0.000], [2.561, 4.435, 0.000], [2.561, 1.478, 4.182]],
  "species": ["Pr", "Y", "Ge", "Pt"],
  "fractional_positions": [[0.250, 0.250, 0.250], [0.750, 0.750, 0.750], [0.000, 0.000, 0.000], [0.500, 0.500, 0.500]]
}

***

# 7
{
  "formula": "PrYGePt",
  "functional": "PBE",
  "state": "optimized geometry",
  "relative_energy_ev_per_atom": 0.000,
  "sg": "Amm2, No. 38",
  "lattice_angstrom": [[4.053, 0.000, 0.000], [0.000, 4.310, 0.000], [-2.026, 0.000, 5.574]],
  "species": ["Pr", "Y", "Ge", "Pt"],
  "fractional_positions": [[0.143, 0.000, 0.286], [0.866, 0.500, 0.732], [0.575, 0.500, 0.151], [0.416, 0.000, 0.832]]
}

***

# 8
{
  "formula": "PrZnGePt3",
  "functional": "PBE",
  "state": "optimized geometry",
  "final_energy_ev_per_atom": -5.443,
  "sg": "Cmcm, No. 63",
  "lattice_angstrom": [[5.705, 0.000, 0.000], [0.000, 6.888, 0.000], [0.000, -3.444, 6.041]],
  "species": ["Pr", "Pr", "Zn", "Zn", "Ge", "Ge", "Pt", "Pt", "Pt", "Pt", "Pt", "Pt"],
  "fractional_positions": [[0.750, 0.290, 0.579], [0.250, 0.710, 0.421], [0.250, 0.960, 0.920], [0.750, 0.040, 0.080], [0.250, 0.375, 0.750], [0.750, 0.625, 0.250], [0.250, 0.175, 0.351], [0.000, 0.292, 0.000], [0.500, 0.708, 0.000], [0.500, 0.292, 0.000], [0.000, 0.708, 0.000], [0.750, 0.825, 0.649]]
}

***

# 9
{
  "formula": "PrZn2GePt",
  "functional": "PBE",
  "state": "optimized geometry",
  "final_energy_ev_per_atom": -4.229,
  "sg": "Imm2, No. 44",
  "lattice_angstrom": [[4.290, 0.000, 0.000], [0.000, 4.256, 0.000], [-2.145, -2.128, 5.275]],
  "species": ["Pr", "Zn", "Zn", "Ge", "Pt"],
  "fractional_positions": [[0.439, 0.439, 0.878], [0.688, 0.188, 0.376], [0.061, 0.061, 0.122], [0.826, 0.826, 0.653], [0.198, 0.698, 0.395]]
}

***

# 10
{
  "formula": "Pr3Zn2GePt9",
  "functional": "PBE",
  "state": "optimized geometry",
  "final_energy_ev_per_atom": -5.743,
  "sg": "P-3m1, No. 164",
  "lattice_angstrom": [[5.686, 0.000, 0.000], [-2.843, 4.925, 0.000], [0.000, 0.000, 11.599]],
  "species": ["Pr", "Pr", "Pr", "Zn", "Zn", "Ge", "Pt", "Pt", "Pt", "Pt", "Pt", "Pt", "Pt", "Pt", "Pt"],
  "fractional_positions": [[0.333, 0.667, 0.754], [0.000, 0.000, 0.000], [0.667, 0.333, 0.246], [0.333, 0.667, 0.171], [0.667, 0.333, 0.829], [0.000, 0.000, 0.500], [0.828, 0.172, 0.654], [0.828, 0.657, 0.654], [0.343, 0.172, 0.654], [0.657, 0.828, 0.346], [0.172, 0.343, 0.346], [0.172, 0.828, 0.346], [0.500, 0.000, 0.000], [0.000, 0.500, 0.000], [0.500, 0.500, 0.000]]
}

***

# 11
{
  "formula": "Pr2ZrGe3Pt4",
  "functional": "PBE",
  "state": "optimized geometry",
  "final_energy_ev_per_atom": -6.562,
  "sg": "P-4m2, No. 115",
  "lattice_angstrom": [[4.286, 0.000, 0.000], [0.000, 4.286, 0.000], [0.000, 0.000, 11.058]],
  "species": ["Pr", "Pr", "Zr", "Ge", "Ge", "Ge", "Pt", "Pt", "Pt", "Pt"],
  "fractional_positions": [[0.500, 0.000, 0.229], [0.000, 0.500, 0.771], [0.500, 0.500, 0.500], [0.000, 0.000, 0.500], [0.500, 0.000, 0.870], [0.000, 0.500, 0.130], [0.500, 0.500, 0.000], [0.000, 0.000, 0.000], [0.500, 0.000, 0.646], [0.000, 0.500, 0.354]]
}

***

# 12
{
  "formula": "PrPuGe",
  "functional": "PBE",
  "state": "optimized geometry",
  "relative_energy_ev_per_atom": 0.040,
  "sg": "P3m1, No. 156",
  "lattice_angstrom": [[-3.400, -0.244, -1.679], [-1.514, -3.086, 3.513], [-0.619, 4.845, 0.550]],
  "species": ["Pr", "Ge", "Pu"],
  "fractional_positions": [[0.641, 0.333, 0.667], [0.300, 0.667, 0.333], [0.059, 0.000, 0.000]]
}